VASP calculation (PBE) on crystalline Tb2HoIn3Pt2 at its relaxed geometry.

Summary:
calculated total energy	-0.3788	Ry per atom

Cell lengths 3.642, 13.341, 7.720 Å; angles 90.00, 90.00, 90.00 degrees
Space group Amm2 (No. 38)
One atom of each set of equivalent atoms:
Tb1 0.000 0.210 0.000 x4
Ho1 0.000 0.000 0.632 x2
In1 0.500 0.000 0.980 x2
In2 0.500 0.115 0.326 x4
Pt1 0.500 0.166 0.710 x4

VASP calculation (PBE) on crystalline ZrFeCuSi at its relaxed geometry.

Summary:
E above lowest polymorph	166	meV/atom

Cell lengths 6.169, 6.169, 6.169 Å; angles 90.00, 90.00, 90.00 degrees
Space group F-43m (No. 216)
One atom of each set of equivalent atoms:
Zr1 0.000 0.000 0.000 x4
Fe1 0.250 0.250 0.750 x4
Cu1 0.000 0.000 0.500 x4
Si1 0.250 0.250 0.250 x4

VASP calculation (PBE) on crystalline PrZr at its relaxed geometry.

Summary:
E above lowest polymorph	81	meV/atom

Cell lengths 5.477, 3.417, 6.230 Å; angles 90.00, 90.00, 90.00 degrees
Space group Pmma (No. 51)
One atom of each set of equivalent atoms:
Pr1 0.250 0.000 0.161 x2
Zr1 0.250 0.500 0.622 x2

VASP calculation (PBE) on crystalline PaAlGa at its relaxed geometry.

Summary:
calculated total energy	-0.3661	Ry per atom

Cell lengths 6.754, 6.754, 6.754 Å; angles 90.00, 90.00, 90.00 degrees
Space group F-43m (No. 216)
One atom of each set of equivalent atoms:
Pa1 0.000 0.000 0.000 x4
Al1 0.250 0.250 0.750 x4
Ga1 0.250 0.250 0.250 x4

Q: What is the formula in the third record?
A: PrZr